First-principles (PBE) data for a relaxed structure of Cu3Au, as listed in Alexandria.

```
Cu3Au
1.0
4.807 0.000 0.000
0.000 4.807 0.000
0.000 0.000 4.807
Cu Au
6 2
direct
0.000 0.250 0.500 Cu
0.000 0.750 0.500 Cu
0.250 0.500 0.000 Cu
0.500 0.000 0.250 Cu
0.500 0.000 0.750 Cu
0.750 0.500 0.000 Cu
0.000 0.000 0.000 Au
0.500 0.500 0.500 Au
```

DOS(E_F) = 0.162 states/eV/atom
Energy of formation = 0.046 eV per atom
VASP energy = -3.85 eV per atom

First-principles (PBE) data for a relaxed structure of Cu3Au, as listed in Alexandria.

```
Cu3Au
1.0
-1.368 4.382 2.282
1.368 -4.382 2.282
1.368 4.382 -2.282
Cu Au
3 1
direct
0.000 0.000 0.000 Cu
0.389 0.646 0.743 Cu
0.902 0.646 0.257 Cu
0.503 0.003 0.500 Au
```

DOS(E_F) = 0.420 states/eV/atom
Energy of formation = 0.021 eV per atom
VASP energy = -3.87 eV per atom

First-principles (PBE) data for a relaxed structure of CuAu3, as listed in Alexandria.

```
CuAu3
1.0
-2.019 2.019 8.207
2.019 -2.019 8.207
2.019 2.019 -8.207
Cu Au
2 6
direct
0.126 0.126 0.000 Cu
0.874 0.874 0.000 Cu
0.000 0.500 0.500 Au
0.250 0.750 0.500 Au
0.375 0.375 0.000 Au
0.500 0.000 0.500 Au
0.625 0.625 0.000 Au
0.750 0.250 0.500 Au
```

DOS(E_F) = 0.353 states/eV/atom
Energy of formation = -0.010 eV per atom
VASP energy = -3.49 eV per atom

First-principles (PBE) data for a relaxed structure of CuAu6, as listed in Alexandria.

```
CuAu6
1.0
-3.746 3.746 3.746
3.746 -3.746 3.746
3.746 3.746 -3.746
Cu Au
1 6
direct
0.000 0.000 0.000 Cu
0.250 0.500 0.750 Au
0.250 0.750 0.500 Au
0.500 0.250 0.750 Au
0.500 0.750 0.250 Au
0.750 0.250 0.500 Au
0.750 0.500 0.250 Au
```

DOS(E_F) = 0.528 states/eV/atom
Energy of formation = 0.899 eV per atom
VASP energy = -2.50 eV per atom

Sequential spin magnetization output: 0.00 0.00 0.00 0.00 μB per cell